Computed, not measured: crystalline Pu7Ge3N2 at its relaxed geometry at the PBE-GGA level of DFT.

Calculated values
Symmetry: I4/mmm
Formation energy (no corrections) in eV/atom: -0.568
Total DFT energy (no corrections) in eV per atom: -11.47
Magnetization in μB/f.u.: 14.86

abc: 4.6461 4.6461 12.8298
angles: 100.43 100.43 90.00
Fractional positions:
Pu: 0.0000 0.0000 0.0000
Pu: 0.9047 0.4047 0.8094
Pu: 0.4047 0.9047 0.8094
Pu: 0.0953 0.5953 0.1906
Pu: 0.5953 0.0953 0.1906
Pu: 0.2033 0.2033 0.4065
Pu: 0.7967 0.7967 0.5935
Ge: 0.3238 0.3238 0.6477
Ge: 0.6762 0.6762 0.3523
Ge: 0.5000 0.5000 0.0000
N: 0.0998 0.0998 0.1996
N: 0.9002 0.9002 0.8004

Computed, not measured: crystalline Ti4MnAu3 at its relaxed geometry at the PBE-GGA level of DFT.

Calculated values
Symmetry: P4/mmm
Energy relative to the elements in kcal/mol of atoms: -8.36
Total DFT energy (no corrections) in eV per atom: -6.69
Magnetization in μB/f.u.: 1.83

abc: 2.9784 2.9784 14.6275
angles: 90.00 90.00 90.00
Fractional positions:
Mn: 0.5000 0.5000 0.0000
Au: 0.5000 0.5000 0.2314
Au: 0.5000 0.5000 0.5000
Au: 0.5000 0.5000 0.7686
Ti: 0.0000 0.0000 0.9024
Ti: 0.0000 0.0000 0.0976
Ti: 0.0000 0.0000 0.3663
Ti: 0.0000 0.0000 0.6337